(1)
VASP calculation (PBE) on an optimized crystal structure of MnBeRe2.

Computed properties:
theoretical density: 13.92 g cm⁻³
final energy: -37.25 eV/cell
DFT formation energy: 0.13 eV/atom

extended XYZ file:
```
4
Lattice="5.022 -0.001 -0.002 -2.251 4.252 -0.038 0.520 0.791 2.431" Properties=species:S:1:pos:R:3 pbc="T T T"
Re 0.000 0.000 0.000
Re 2.771 0.395 1.215
Mn 1.385 2.126 -0.020
Be -0.866 2.522 1.197
```

(2)
VASP calculation (PBE) on an optimized crystal structure of UFe2Mo.

Computed properties:
theoretical density: 12.73 g cm⁻³
final energy: -38.45 eV/cell
excess energy over the best structure of this formula in the dataset: 41.4 meV per atom
DFT formation energy: 0.15 eV/atom

extended XYZ file:
```
4
Lattice="-2.126 -2.805 -0.991 -0.130 -1.240 3.788 -3.242 2.238 0.621" Properties=species:S:1:pos:R:3 pbc="T T T"
U -1.063 -1.402 -0.496
Fe -1.621 1.119 0.311
Fe -0.065 -0.620 1.894
Mo -2.749 -0.903 1.709
```

(3)
VASP calculation (PBE) on an optimized crystal structure of HfTiMn2.

Computed properties:
theoretical density: 9.49 g cm⁻³
final energy: -36.78 eV/cell
DFT formation energy: -0.15 eV/atom

extended XYZ file:
```
4
Lattice="-0.989 2.932 0.243 -1.782 -0.921 3.863 3.721 1.092 1.977" Properties=species:S:1:pos:R:3 pbc="T T T"
Hf 0.475 1.551 3.042
Mn 1.861 0.546 0.988
Mn -0.891 -0.461 1.932
Ti -0.495 1.466 0.121
```

(4)
VASP calculation (PBE) on an optimized crystal structure of Dy2TiGe4Pt3.

Computed properties:
theoretical density: 10.97 g cm⁻³
final energy: -62.39 eV/cell
DFT formation energy: -0.87 eV/atom

extended XYZ file:
```
10
Lattice="-2.149 -3.485 0.495 -0.358 -0.360 -4.093 9.439 -5.864 -0.310" Properties=species:S:1:pos:R:3 pbc="T T T"
Pt 1.106 -0.979 -2.089
Pt 4.720 -2.932 -0.155
Pt 7.080 -6.808 -0.020
Ge 4.981 -5.504 0.049
Ge 0.000 0.000 0.000
Ge 3.205 -2.283 -2.157
Ge -1.254 -1.923 -1.799
Dy 6.903 -4.580 -2.279
Dy 1.283 -3.207 0.170
Ti 3.466 -4.855 -1.954
```

(5)
VASP calculation (PBE) on an optimized crystal structure of TlZnRe2.

Computed properties:
theoretical density: 15.77 g cm⁻³
final energy: -25.06 eV/cell
excess energy over the best structure of this formula in the dataset: 494.3 meV per atom
DFT formation energy: 0.87 eV/atom

extended XYZ file:
```
4
Lattice="-0.861 1.388 -2.307 -2.019 -1.074 1.662 -0.226 8.079 4.945" Properties=species:S:1:pos:R:3 pbc="T T T"
Re -0.117 4.193 2.567
Re -0.222 7.926 4.852
Tl -1.496 2.177 0.914
Zn -1.609 6.216 3.387
```

(6)
VASP calculation (PBE) on an optimized crystal structure of AlTe3O.

Computed properties:
theoretical density: 5.04 g cm⁻³
E_form (uncorrected): 0.820 eV/atom
final energy: -14.03 eV/cell
excess energy over the best structure of this formula in the dataset: 634.0 meV per atom

extended XYZ file:
```
5
Lattice="5.196 0.000 0.000 0.000 5.196 0.000 0.000 0.000 5.196" Properties=species:S:1:pos:R:3 pbc="T T T"
Te 0.000 2.598 0.000
Te 0.000 0.000 2.598
Te 2.598 0.000 0.000
Al 0.000 0.000 0.000
O 2.598 2.598 2.598
```

(7)
VASP calculation (PBE) on an optimized crystal structure of La2CuTcC.

Computed properties:
theoretical density: 6.78 g cm⁻³
final energy: -33.79 eV/cell
DFT formation energy: -0.05 eV/atom

extended XYZ file:
```
5
Lattice="5.283 0.000 0.000 0.000 5.283 0.000 0.000 0.000 3.958" Properties=species:S:1:pos:R:3 pbc="T T T"
C 0.000 0.000 0.000
Cu 2.642 2.642 1.979
Tc 0.000 0.000 1.979
La 0.000 2.642 0.000
La 2.642 0.000 0.000
```

(8)
VASP calculation (PBE) on an optimized crystal structure of SrHgIr3.

Computed properties:
theoretical density: 11.31 g cm⁻³
final energy: -15.64 eV/cell
excess energy over the best structure of this formula in the dataset: 1090.8 meV per atom
DFT formation energy: 2.58 eV/atom

extended XYZ file:
```
5
Lattice="-4.239 2.656 0.483 -0.558 -1.742 4.681 2.641 3.895 1.764" Properties=species:S:1:pos:R:3 pbc="T T T"
Ir -2.120 1.328 0.242
Ir 1.320 1.947 0.882
Ir -0.279 -0.871 2.340
Hg -1.078 2.404 3.464
Sr 0.000 0.000 0.000
```